Record 1
Computed, not measured: BaCa3Ga at its PBEsol-relaxed geometry at the meta-GGA SCAN level of DFT.

Cell and atoms, written as POSCAR:
```
BaCa3Ga
1.0
5.871 0.000 0.000
0.000 5.871 0.000
0.000 0.000 5.871
Ca Ba Ga
3 1 1
Cartesian
0.000 2.935 0.000
0.000 0.000 2.935
2.935 0.000 0.000
2.935 2.935 2.935
0.000 0.000 0.000
```

space-group type	Pm-3m
DOS at the Fermi energy	0.92	states/eV/atom

***

Record 2
Computed, not measured: BaCa2GaPb at its PBEsol-relaxed geometry at the meta-GGA SCAN level of DFT.

Cell and atoms, written as POSCAR:
```
BaCa2GaPb
1.0
-2.979 4.439 1.904
-4.129 -3.690 2.143
2.915 -0.261 5.167
Pb Ca Ba Ga
1 2 1 1
Cartesian
0.000 0.000 0.000
1.457 -0.130 2.583
-2.064 -1.845 1.071
-2.097 0.244 4.607
-1.489 2.219 0.952
```

space-group type	P4/mmm
DOS at the Fermi energy	0.89	states/eV/atom

***

Record 3
Computed, not measured: BaCaScGa2 at its PBEsol-relaxed geometry at the meta-GGA SCAN level of DFT.

Cell and atoms, written as POSCAR:
```
BaCaScGa2
1.0
5.294 0.000 0.000
0.000 5.294 0.000
0.000 0.000 5.451
Sc Ca Ba Ga
1 1 1 2
Cartesian
0.000 0.000 0.000
2.647 2.647 2.726
0.000 0.000 2.726
0.000 2.647 0.000
2.647 0.000 0.000
```

space-group type	P4/mmm
DOS at the Fermi energy	0.70	states/eV/atom

***

Record 4
Computed, not measured: Ba2CaGe2 at its PBEsol-relaxed geometry at the meta-GGA SCAN level of DFT.

Cell and atoms, written as POSCAR:
```
Ba2CaGe2
1.0
5.073 0.000 0.000
0.000 8.024 0.000
0.000 0.000 8.024
Ge Ca Ba
4 2 4
Cartesian
0.000 3.115 7.127
0.000 7.127 4.908
0.000 4.908 0.897
0.000 0.897 3.115
0.000 0.000 0.000
0.000 4.012 4.012
2.536 1.377 5.389
2.536 5.389 6.647
2.536 6.647 2.635
2.536 2.635 1.377
```

space-group type	P4/mbm
DOS at the Fermi energy	0.89	states/eV/atom

***

Record 5
Computed, not measured: Ba3CaGe at its PBEsol-relaxed geometry at the meta-GGA SCAN level of DFT.

Cell and atoms, written as POSCAR:
```
Ba3CaGe
1.0
6.222 0.000 0.000
0.000 6.222 0.000
0.000 0.000 6.222
Ge Ca Ba
1 1 3
Cartesian
3.111 3.111 3.111
0.000 0.000 0.000
0.000 3.111 0.000
0.000 0.000 3.111
3.111 0.000 0.000
```

space-group type	Pm-3m
DOS at the Fermi energy	1.17	states/eV/atom

***

Record 6
Computed, not measured: BaCa2ReGe at its PBEsol-relaxed geometry at the meta-GGA SCAN level of DFT.

Cell and atoms, written as POSCAR:
```
BaCa2ReGe
1.0
-1.596 -0.029 -4.703
3.450 -4.311 -1.144
-4.075 -3.635 1.405
Re Ge Ca Ba
1 1 2 1
Cartesian
-0.798 -0.015 -2.352
-1.110 -3.987 -2.221
-2.038 -1.818 0.703
1.725 -2.155 -0.572
0.000 0.000 0.000
```

space-group type	P4/mmm
DOS at the Fermi energy	0.81	states/eV/atom

***

no.,E_form (eV per formula unit)
1,-0.720
2,-0.270
3,1.164
4,-2.695
5,4.164
6,9.095